Rb2US2Cl2 (GGA-PBE, optimized geometry); crystal system = tetragonal; uncorrected energy = -36.681 eV per cell; formation energy from raw total energies = -1644.3 meV per atom
1.0
-5.2741 0.2688 0.4373
-0.4350 -4.7371 -2.3347
3.2868 -1.5091 8.4631
Cl U Rb S
2 1 2 2
Direct
0.1633 0.1633 0.3266
0.8367 0.8367 0.6734
0.0000 0.0000 0.0000
0.3632 0.3632 0.7263
0.6368 0.6368 0.2737
0.5000 0.0000 0.0000
0.0000 0.5000 0.0000

***

MnCdHSe2 (GGA-PBE, optimized geometry); energy relative to the lowest polymorph listed for this composition = 0.0939 eV/atom; crystal system = monoclinic; uncorrected energy = -21.242 eV per cell
1.0
-0.8775 -3.6700 1.6729
-1.4097 -1.3709 -3.7470
5.9374 -1.8349 -1.5625
Cd Mn H Se
1 1 1 2
Direct
0.2196 0.5000 0.0253
0.1771 0.0000 0.7153
0.8026 0.5000 0.4167
0.6921 0.0000 0.9450
0.1590 0.5000 0.4638